(1)
First-principles (PBE-GGA) data for an optimized crystal structure of TmLuSc, as listed in Alexandria.

abc: 3.4148 3.4148 7.5674
angles: 103.04 103.04 90.00
Last column: nearest neighbours and their distance in Å.
Positions (direct):
1 Tm 0.3293 0.3293 0.6585  4 Sc 3.36, 4 Tm 3.41, 4 Lu 3.48
2 Lu 0.0043 0.0043 0.0086  4 Sc 3.35, 4 Lu 3.41, 4 Tm 3.48
3 Sc 0.6665 0.6665 0.3329  4 Lu 3.35, 4 Tm 3.36, 4 Sc 3.41

Computed properties:
volume = 27.876 Å³ per atom

---

(2)
First-principles (PBE-GGA) data for an optimized crystal structure of Tm2LuSc, as listed in Alexandria.

abc: 3.4454 3.4454 9.5773
angles: 90.00 90.00 90.00
Last column: nearest neighbours and their distance in Å.
Positions (direct):
1 Lu 0.5000 0.5000 0.5000  4 Lu 3.45, 8 Tm 3.47
2 Tm 0.0000 0.0000 0.2420  4 Sc 3.36, 4 Tm 3.45, 4 Lu 3.47
3 Tm 0.0000 0.0000 0.7580  4 Sc 3.36, 4 Tm 3.45, 4 Lu 3.47
4 Sc 0.5000 0.5000 0.0000  8 Tm 3.36, 4 Sc 3.45

Computed properties:
volume = 28.423 Å³ per atom

---

(3)
First-principles (PBE-GGA) data for an optimized crystal structure of Tm2LuSc, as listed in Alexandria.

abc: 5.4588 5.4588 5.4588
angles: 60.00 60.00 60.00
Last column: nearest neighbours and their distance in Å.
Positions (direct):
1 Lu 0.0000 0.0000 0.0000  8 Tm 3.34
2 Sc 0.5000 0.5000 0.5000  8 Tm 3.34
3 Tm 0.2500 0.2500 0.2500  4 Sc 3.34, 4 Lu 3.34
4 Tm 0.7500 0.7500 0.7500  4 Lu 3.34, 4 Sc 3.34

Computed properties:
volume = 28.755 Å³ per atom

---

(4)
First-principles (PBE-GGA) data for an optimized crystal structure of Tm2LuSc, as listed in Alexandria.

abc: 3.4335 3.4335 11.3071
angles: 81.27 81.27 60.00
Last column: nearest neighbours and their distance in Å.
Positions (direct):
1 Lu 0.5000 0.5000 0.5000  6 Lu 3.43, 6 Tm 3.48
2 Sc 0.0000 0.0000 0.0000  6 Tm 3.36, 6 Sc 3.43
3 Tm 0.2523 0.2523 0.2432  3 Sc 3.36, 6 Tm 3.43, 3 Lu 3.48
4 Tm 0.7477 0.7477 0.7568  3 Sc 3.36, 6 Tm 3.43, 3 Lu 3.48

Computed properties:
volume = 28.413 Å³ per atom

---

(5)
First-principles (PBE-GGA) data for an optimized crystal structure of TmLuSc, as listed in Alexandria.

abc: 3.3694 5.3590 5.3590
angles: 120.00 90.00 90.00
Last column: nearest neighbours and their distance in Å.
Positions (direct):
1 Lu 0.1660 0.0000 0.0000  3 Sc 3.09, 2 Lu 3.37
2 Sc 0.1674 0.3333 0.6667  3 Lu 3.09, 2 Sc 3.37
3 Tm 0.6666 0.6667 0.3333  2 Tm 3.37, 6 Sc 3.52, 6 Lu 3.52

Computed properties:
volume = 27.933 Å³ per atom

---

(6)
First-principles (PBE-GGA) data for an optimized crystal structure of YTmLuSc, as listed in Alexandria.

abc: 5.4913 5.4913 5.4913
angles: 60.00 60.00 60.00
Last column: nearest neighbours and their distance in Å.
Positions (direct):
1 Tm 0.2500 0.2500 0.2500  4 Sc 3.36, 4 Lu 3.36
2 Lu 0.5000 0.5000 0.5000  4 Tm 3.36, 4 Y 3.36
3 Sc 0.0000 0.0000 0.0000  4 Y 3.36, 4 Tm 3.36
4 Y 0.7500 0.7500 0.7500  4 Sc 3.36, 4 Lu 3.36

Computed properties:
volume = 29.271 Å³ per atom

---

| no. | magnetic moment (μB per formula unit) | final energy (eV/f.u.) | calculated formation energy (eV per atom) |
| --- | --- | --- | --- |
| 1 | 0.00 | -15.182 | 0.048 |
| 2 | 0.00 | -19.622 | 0.043 |
| 3 | 0.03 | -19.289 | 0.127 |
| 4 | 0.00 | -19.604 | 0.048 |
| 5 | 0.01 | -15.093 | 0.077 |
| 6 | 0.00 | -21.300 | 0.122 |